Entry 1:
RbVOF3 PBE with a Hubbard U relaxed; D(E_F) = 0.000 states/eV/atom; excess energy over the best structure of this formula in the dataset = 0.0 meV/atom
1.0
8.792 0.000 0.000
0.000 11.849 0.000
0.000 0.000 3.960
Rb V O F
4 4 4 12
direct
0.010 0.219 0.000
0.490 0.719 0.000
0.510 0.281 0.000
0.990 0.781 0.000
0.192 0.487 0.500
0.308 0.987 0.500
0.692 0.013 0.500
0.808 0.513 0.500
0.162 0.074 0.500
0.338 0.574 0.500
0.662 0.426 0.500
0.838 0.926 0.500
0.025 0.603 0.500
0.168 0.471 0.000
0.224 0.839 0.500
0.276 0.339 0.500
0.332 0.971 0.000
0.475 0.103 0.500
0.525 0.897 0.500
0.668 0.029 0.000
0.724 0.661 0.500
0.776 0.161 0.500
0.832 0.529 0.000
0.975 0.397 0.500



Entry 2:
RbVOF3 PBE with a Hubbard U relaxed; D(E_F) = 0.000 states/eV/atom; excess energy over the best structure of this formula in the dataset = 2.1 meV/atom
1.0
6.905 0.000 0.000
0.000 15.166 0.000
0.000 0.000 3.952
Rb V O F
4 4 4 12
direct
0.182 0.164 0.000
0.318 0.664 0.000
0.682 0.336 0.000
0.818 0.836 0.000
0.154 0.413 0.500
0.346 0.913 0.500
0.654 0.087 0.500
0.846 0.587 0.500
0.112 0.893 0.500
0.388 0.393 0.500
0.612 0.607 0.500
0.888 0.107 0.500
0.036 0.298 0.500
0.111 0.414 0.000
0.152 0.544 0.500
0.348 0.044 0.500
0.389 0.914 0.000
0.464 0.798 0.500
0.536 0.202 0.500
0.611 0.086 0.000
0.652 0.956 0.500
0.848 0.456 0.500
0.889 0.586 0.000
0.964 0.702 0.500



Entry 3:
RbWO2F PBE with a Hubbard U relaxed; D(E_F) = 0.002 states/eV/atom
1.0
4.104 0.000 0.000
0.000 4.104 0.000
0.000 0.000 4.410
Rb W O F
1 1 2 1
direct
0.000 0.000 0.000
0.500 0.500 0.500
0.000 0.500 0.500
0.500 0.000 0.500
0.500 0.500 0.000



Entry 4:
Rb2WO2F4 PBE with a Hubbard U relaxed; D(E_F) = 0.000 states/eV/atom
1.0
5.414 -3.024 0.000
5.414 3.024 0.000
-0.187 0.000 4.968
Rb W O F
2 1 2 4
direct
0.177 0.177 0.310
0.823 0.823 0.690
0.500 0.500 0.000
0.353 0.353 0.801
0.647 0.647 0.199
0.199 0.668 0.229
0.332 0.801 0.771
0.668 0.199 0.229
0.801 0.332 0.771



Entry 5:
RbWO2F PBE with a Hubbard U relaxed; D(E_F) = 0.318 states/eV/atom
1.0
4.399 0.000 0.000
0.000 4.399 0.000
0.000 0.000 4.753
Rb W O F
1 1 2 1
direct
0.000 0.000 0.000
0.500 0.500 0.500
0.000 0.500 0.000
0.500 0.000 0.000
0.000 0.000 0.500



Entry 6:
# Rb5WO4F2

Crystalline Rb5WO4F2 at its relaxed geometry (PBE with a Hubbard U, Alexandria via LeMat-Bulk).

The structure in POSCAR format:
```
Rb5WO4F2
1.0
8.162 0.000 0.000
0.000 5.440 3.301
0.000 -5.440 3.301
Rb W O F
5 1 4 2
direct
0.000 0.000 0.000
0.259 0.316 0.682
0.259 0.682 0.316
0.741 0.316 0.682
0.741 0.682 0.316
0.500 0.021 0.021
0.303 0.174 0.174
0.500 0.019 0.722
0.500 0.722 0.019
0.697 0.174 0.174
0.000 0.557 0.974
0.000 0.974 0.557
```



Number 1: energy -5.806 eV per atom. Number 2: energy -5.804 eV per atom. Number 3: energy -6.069 eV per atom. Number 4: energy -5.439 eV per atom. Number 5: energy -3.124 eV per atom. Number 6: energy -5.013 eV per atom.